[1]
Density functional theory data (PBE-GGA) for a relaxed structure of Zr2FeAu. Values from VASP.

Properties
The relative energy among the computed polymorphs comes out at 91 meV/atom. The formation energy is -0.24 eV per atom. The space group is P4/mmm, No. 123.

Quantum ESPRESSO input file:
```
&SYSTEM
  ibrav = 0, nat = 4, ntyp = 3
/
ATOMIC_SPECIES
Au 196.97 Au.upf
Zr 91.22 Zr.upf
Fe 55.84 Fe.upf
CELL_PARAMETERS angstrom
-3.590 -0.486 2.929
1.241 -4.421 0.784
1.988 1.020 2.605
ATOMIC_POSITIONS crystal
Au 0.500 0.000 0.500
Zr 0.000 0.000 0.000
Zr 0.500 0.500 0.000
Fe 0.000 0.500 0.500
```


[2]
Density functional theory data (PBE-GGA) for a relaxed structure of ZrFe2Au. Values from VASP.

Properties
The relative energy among the computed polymorphs comes out at 280 meV/atom. The formation energy is 0.17 eV per atom. The space group is R3m, No. 160.

Quantum ESPRESSO input file:
```
&SYSTEM
  ibrav = 0, nat = 4, ntyp = 3
/
ATOMIC_SPECIES
Fe 55.84 Fe.upf
Au 196.97 Au.upf
Zr 91.22 Zr.upf
CELL_PARAMETERS angstrom
-7.298 4.416 2.291
-8.456 1.719 1.886
-7.215 2.424 4.482
ATOMIC_POSITIONS crystal
Fe 0.993 0.993 0.993
Fe 0.259 0.259 0.259
Au 0.743 0.743 0.743
Zr 0.505 0.505 0.505
```


[3]
Density functional theory data (PBE-GGA) for a relaxed structure of ZrFe2Au. Values from VASP.

Properties
The relative energy among the computed polymorphs comes out at 227 meV/atom. The formation energy is 0.12 eV per atom. The space group is P2/m, No. 10.

Quantum ESPRESSO input file:
```
&SYSTEM
  ibrav = 0, nat = 4, ntyp = 3
/
ATOMIC_SPECIES
Fe 55.84 Fe.upf
Au 196.97 Au.upf
Zr 91.22 Zr.upf
CELL_PARAMETERS angstrom
4.518 0.000 0.000
0.000 2.875 -0.013
0.000 0.336 5.097
ATOMIC_POSITIONS crystal
Fe 0.000 0.587 0.472
Fe 0.000 0.913 0.028
Au 0.500 0.750 0.750
Zr 0.500 0.250 0.250
```


[4]
Density functional theory data (PBE-GGA) for a relaxed structure of ZrFe2Au. Values from VASP.

Properties
The relative energy among the computed polymorphs comes out at 123 meV/atom. The formation energy is 0.02 eV per atom. The space group is P4/mmm, No. 123.

Quantum ESPRESSO input file:
```
&SYSTEM
  ibrav = 0, nat = 4, ntyp = 3
/
ATOMIC_SPECIES
Fe 55.84 Fe.upf
Au 196.97 Au.upf
Zr 91.22 Zr.upf
CELL_PARAMETERS angstrom
3.332 -0.006 0.000
0.006 3.332 0.000
0.000 0.000 5.744
ATOMIC_POSITIONS crystal
Fe 0.000 0.000 0.993
Fe 0.000 0.000 0.507
Au 0.500 0.500 0.750
Zr 0.500 0.500 0.250
```


[5]
Density functional theory data (PBE-GGA) for a relaxed structure of ZrFe2Au. Values from VASP.

Properties
The relative energy among the computed polymorphs comes out at 281 meV/atom. The formation energy is 0.17 eV per atom. The space group is P4/mmm, No. 123.

Quantum ESPRESSO input file:
```
&SYSTEM
  ibrav = 0, nat = 4, ntyp = 3
/
ATOMIC_SPECIES
Au 196.97 Au.upf
Zr 91.22 Zr.upf
Fe 55.84 Fe.upf
CELL_PARAMETERS angstrom
2.849 0.000 0.000
0.000 2.849 0.000
0.000 0.000 8.013
ATOMIC_POSITIONS crystal
Au 0.500 0.500 0.750
Zr 0.500 0.500 0.250
Fe 0.000 0.000 0.513
Fe 0.000 0.000 0.987
```


[6]
Density functional theory data (PBE-GGA) for a relaxed structure of Zr2FeAu. Values from VASP.

Properties
The relative energy among the computed polymorphs comes out at 95 meV/atom. The formation energy is -0.23 eV per atom. The space group is Fm-3m, No. 225.

Quantum ESPRESSO input file:
```
&SYSTEM
  ibrav = 0, nat = 4, ntyp = 3
/
ATOMIC_SPECIES
Zr 91.22 Zr.upf
Fe 55.84 Fe.upf
Au 196.97 Au.upf
CELL_PARAMETERS angstrom
4.162 -2.225 0.134
0.252 -4.601 -1.031
2.052 -1.412 -4.011
ATOMIC_POSITIONS crystal
Zr 0.750 0.750 0.750
Zr 0.250 0.250 0.250
Fe 0.000 0.000 0.000
Au 0.500 0.500 0.500
```


[7]
Density functional theory data (PBE-GGA) for a relaxed structure of ZrFe2Au. Values from VASP.

Properties
The relative energy among the computed polymorphs comes out at 0 meV/atom. The formation energy is -0.11 eV per atom. The space group is Imm2, No. 44.

Quantum ESPRESSO input file:
```
&SYSTEM
  ibrav = 0, nat = 4, ntyp = 3
/
ATOMIC_SPECIES
Fe 55.84 Fe.upf
Au 196.97 Au.upf
Zr 91.22 Zr.upf
CELL_PARAMETERS angstrom
-4.457 1.681 -1.623
-3.845 -1.586 -2.832
-3.291 -1.418 2.168
ATOMIC_POSITIONS crystal
Fe 0.732 0.732 0.768
Fe 0.019 0.019 0.981
Au 0.258 0.258 0.242
Zr 0.491 0.491 0.509
```


[8]
Density functional theory data (PBE-GGA) for a relaxed structure of Zr2FeAu. Values from VASP.

Properties
The relative energy among the computed polymorphs comes out at 171 meV/atom. The formation energy is -0.16 eV per atom. The space group is Cm, No. 8.

Quantum ESPRESSO input file:
```
&SYSTEM
  ibrav = 0, nat = 4, ntyp = 3
/
ATOMIC_SPECIES
Zr 91.22 Zr.upf
Fe 55.84 Fe.upf
Au 196.97 Au.upf
CELL_PARAMETERS angstrom
-0.991 2.892 4.755
-3.669 1.031 4.176
0.824 -2.376 3.824
ATOMIC_POSITIONS crystal
Zr 0.249 0.249 0.251
Zr 0.033 0.033 0.968
Fe 0.748 0.748 0.751
Au 0.470 0.470 0.530
```


[9]
Density functional theory data (PBE-GGA) for a relaxed structure of Zr2FeAu. Values from VASP.

Properties
The relative energy among the computed polymorphs comes out at 56 meV/atom. The formation energy is -0.27 eV per atom. The space group is Pm, No. 6.

Quantum ESPRESSO input file:
```
&SYSTEM
  ibrav = 0, nat = 4, ntyp = 3
/
ATOMIC_SPECIES
Au 196.97 Au.upf
Zr 91.22 Zr.upf
Fe 55.84 Fe.upf
CELL_PARAMETERS angstrom
-0.731 -3.110 2.733
-2.226 -1.432 -2.225
2.729 -3.458 -3.205
ATOMIC_POSITIONS crystal
Au 0.000 0.705 0.465
Zr 0.500 0.284 0.308
Zr 0.000 0.982 0.910
Fe 0.500 0.528 0.817
```


[10]
Density functional theory data (PBE-GGA) for a relaxed structure of ZrFe2Au. Values from VASP.

Properties
The relative energy among the computed polymorphs comes out at 7 meV/atom. The formation energy is -0.10 eV per atom. The space group is Pm, No. 6.

Quantum ESPRESSO input file:
```
&SYSTEM
  ibrav = 0, nat = 4, ntyp = 3
/
ATOMIC_SPECIES
Fe 55.84 Fe.upf
Zr 91.22 Zr.upf
Au 196.97 Au.upf
CELL_PARAMETERS angstrom
-3.033 -0.423 -0.187
0.300 -0.836 -2.972
1.076 -7.216 -1.106
ATOMIC_POSITIONS crystal
Fe 0.500 0.286 0.214
Fe 0.000 0.966 0.033
Zr 0.000 0.530 0.470
Au 0.500 0.717 0.783
```


[11]
Density functional theory data (PBE-GGA) for a relaxed structure of Ga4Au. Values from VASP.

Properties
The relative energy among the computed polymorphs comes out at 0 meV/atom. The formation energy is -0.04 eV per atom. The space group is C2/c, No. 15.

Quantum ESPRESSO input file:
```
&SYSTEM
  ibrav = 0, nat = 10, ntyp = 2
/
ATOMIC_SPECIES
Au 196.97 Au.upf
Ga 69.72 Ga.upf
CELL_PARAMETERS angstrom
-1.092 -4.183 -4.156
0.184 -5.156 1.685
-7.244 -1.839 -0.573
ATOMIC_POSITIONS crystal
Au 0.959 0.750 0.081
Au 0.041 0.250 0.919
Ga 0.913 0.270 0.613
Ga 0.830 0.770 0.776
Ga 0.525 0.770 0.387
Ga 0.394 0.730 0.776
Ga 0.170 0.230 0.224
Ga 0.475 0.230 0.613
Ga 0.606 0.270 0.224
Ga 0.087 0.730 0.387
```


[12]
Density functional theory data (PBE-GGA) for a relaxed structure of Ga3Au. Values from VASP.

Properties
The relative energy among the computed polymorphs comes out at 40 meV/atom. The formation energy is -0.07 eV per atom. The space group is Imm2, No. 44.

Quantum ESPRESSO input file:
```
&SYSTEM
  ibrav = 0, nat = 4, ntyp = 2
/
ATOMIC_SPECIES
Au 196.97 Au.upf
Ga 69.72 Ga.upf
CELL_PARAMETERS angstrom
-3.007 -0.189 -1.139
2.049 -2.745 -4.957
0.033 -2.046 4.808
ATOMIC_POSITIONS crystal
Au 0.000 0.089 0.000
Ga 0.500 0.449 0.000
Ga 0.306 0.621 0.613
Ga 0.694 0.008 0.387
```


[13]
Density functional theory data (PBE-GGA) for a relaxed structure of Ga4Au5. Values from VASP.

Properties
The formation energy is -0.11 eV per atom. The space group is I4/m, No. 87.

Quantum ESPRESSO input file:
```
&SYSTEM
  ibrav = 0, nat = 9, ntyp = 2
/
ATOMIC_SPECIES
Au 196.97 Au.upf
Ga 69.72 Ga.upf
CELL_PARAMETERS angstrom
-1.406 -2.975 -1.967
5.687 -4.542 -0.932
-2.310 -4.747 5.095
ATOMIC_POSITIONS crystal
Au 0.290 0.142 0.278
Au 0.000 0.000 0.000
Au 0.568 0.722 0.142
Au 0.710 0.858 0.722
Au 0.432 0.278 0.858
Ga 0.271 0.629 0.829
Ga 0.900 0.829 0.371
Ga 0.100 0.171 0.629
Ga 0.729 0.371 0.171
```